# Mn3SbO8 (PBE+U, optimized geometry)
# distance to the lowest polymorph of the same formula: 0.041 eV/atom
# spin magnetization: 10.0 μB per formula unit
# crystal system: trigonal
# calculated total energy: -6.820 eV per atom
data_Mn3SbO8
_chemical_formula_sum 'Mn9 Sb3 O24'
_symmetry_space_group_name_H-M 'R -3 m'
_symmetry_Int_Tables_number 166
_symmetry_space_group_name_Hall '-R 3 2"'
_cell_length_a 6.0827
_cell_length_b 6.0827
_cell_length_c 14.8171
_cell_angle_alpha 90.00
_cell_angle_beta 90.00
_cell_angle_gamma 120.00
loop_
_atom_site_label
_atom_site_fract_x
_atom_site_fract_y
_atom_site_fract_z
Mn1 0.0000 0.5000 0.0000
Sb1 0.0000 0.0000 0.0000
O1 0.0000 0.0000 0.2738
O2 0.9996 0.4998 0.2661